VASP calculation (GGA-PBEsol) on a relaxed structure of ZnSn3P4O14.

a b c (Å): 8.1922 7.6609 9.8290
angles (deg): 90.00 103.15 90.00
Element x y z (fractional)
Zn: 0.0000 0.0000 0.0000
Zn: 0.0000 0.5000 0.5000
Sn: 0.3040 0.1456 0.4741
Sn: 0.3040 0.3544 0.9741
Sn: 0.5000 0.0000 0.0000
Sn: 0.5000 0.5000 0.5000
Sn: 0.6960 0.6456 0.0259
Sn: 0.6960 0.8544 0.5259
P: 0.0557 0.0553 0.6984
P: 0.0557 0.4447 0.1984
P: 0.3138 0.7098 0.1738
P: 0.3138 0.7902 0.6738
P: 0.6862 0.2098 0.3262
P: 0.6862 0.2902 0.8262
P: 0.9443 0.5553 0.8016
P: 0.9443 0.9447 0.3016
O: 0.0985 0.0816 0.8581
O: 0.0985 0.4184 0.3581
O: 0.1303 0.6305 0.1706
O: 0.1303 0.8695 0.6706
O: 0.1311 0.5394 0.8617
O: 0.1311 0.9606 0.3617
O: 0.1403 0.1965 0.6270
O: 0.1403 0.3035 0.1270
O: 0.2704 0.6170 0.5959
O: 0.2704 0.8830 0.0959
O: 0.4002 0.5761 0.0939
O: 0.4002 0.9239 0.5939
O: 0.4152 0.7229 0.3226
O: 0.4152 0.7771 0.8226
O: 0.5848 0.2229 0.1774
O: 0.5848 0.2771 0.6774
O: 0.5998 0.0761 0.4061
O: 0.5998 0.4239 0.9061
O: 0.7296 0.1170 0.9041
O: 0.7296 0.3830 0.4041
O: 0.8597 0.6965 0.8730
O: 0.8597 0.8035 0.3730
O: 0.8689 0.0394 0.6383
O: 0.8689 0.4606 0.1383
O: 0.8697 0.1305 0.3294
O: 0.8697 0.3695 0.8294
O: 0.9015 0.5816 0.6419
O: 0.9015 0.9184 0.1419

Computed properties:
Raw formation energy ... -1865 meV per atom
Symmetry ... P2_1/c (14)

VASP calculation (GGA-PBEsol) on a relaxed structure of SrPO2.

a b c (Å): 6.1026 6.1026 6.1026
angles (deg): 36.41 36.41 36.41
Element x y z (fractional)
Sr: 0.0000 0.0000 0.0000
P: 0.5000 0.5000 0.5000
O: 0.4022 0.4022 0.4022
O: 0.5978 0.5978 0.5978

Computed properties:
Raw formation energy ... -1696 meV per atom
Symmetry ... R-3m (166)

VASP calculation (GGA-PBEsol) on a relaxed structure of SrP2O6.

a b c (Å): 4.5045 10.8970 10.3968
angles (deg): 90.00 91.68 90.00
Element x y z (fractional)
Sr: 0.0312 0.1921 0.0143
Sr: 0.0312 0.3079 0.5143
Sr: 0.9688 0.6921 0.4857
Sr: 0.9688 0.8079 0.9857
P: 0.0694 0.5132 0.7828
P: 0.0694 0.9868 0.2828
P: 0.4357 0.6523 0.2069
P: 0.4357 0.8477 0.7069
P: 0.5643 0.1523 0.2931
P: 0.5643 0.3477 0.7931
P: 0.9306 0.0132 0.7172
P: 0.9306 0.4868 0.2172
O: 0.0179 0.1230 0.6439
O: 0.0179 0.3770 0.1439
O: 0.0401 0.5135 0.6382
O: 0.0401 0.9865 0.1382
O: 0.0999 0.6112 0.1683
O: 0.0999 0.8888 0.6683
O: 0.3963 0.0270 0.3309
O: 0.3963 0.4730 0.8309
O: 0.4690 0.6734 0.3490
O: 0.4690 0.8266 0.8490
O: 0.4981 0.2476 0.8869
O: 0.4981 0.2524 0.3869
O: 0.5019 0.7476 0.6131
O: 0.5019 0.7524 0.1131
O: 0.5310 0.1734 0.1510
O: 0.5310 0.3266 0.6510
O: 0.6037 0.5270 0.1691
O: 0.6037 0.9730 0.6691
O: 0.9001 0.1112 0.3317
O: 0.9001 0.3888 0.8317
O: 0.9599 0.0135 0.8618
O: 0.9599 0.4865 0.3618
O: 0.9821 0.6230 0.8561
O: 0.9821 0.8770 0.3561

Computed properties:
Raw formation energy ... -2541 meV per atom
Symmetry ... P2_1/c (14)

VASP calculation (GGA-PBEsol) on a relaxed structure of SrP2O2.

a b c (Å): 7.0564 7.0564 3.6190
angles (deg): 90.00 90.00 90.00
Element x y z (fractional)
Sr: 0.0000 0.0000 0.0000
Sr: 0.5000 0.5000 0.0000
P: 0.1056 0.3944 0.0000
P: 0.3944 0.8944 0.0000
P: 0.6056 0.1056 0.0000
P: 0.8944 0.6056 0.0000
O: 0.1495 0.3505 0.5000
O: 0.3505 0.8505 0.5000
O: 0.6495 0.1495 0.5000
O: 0.8505 0.6495 0.5000

Computed properties:
Energy above the lowest structure with this stoichiometry ... 0.0 kJ per mole of atoms
Raw formation energy ... -790 meV per atom
Symmetry ... P4/mbm (127)